[1]
Computed, not measured: an optimized crystal structure of PaSnAu at the PBE level of DFT.

electronic total energy: -17.6 eV/cell

a = 4.808 Å, b = 4.808 Å, c = 4.808 Å
α = 60.00°, β = 60.00°, γ = 60.00°
Positions (direct):
Au 0.000 0.000 0.000
Pa 0.250 0.250 0.250
Sn 0.750 0.750 0.750



[2]
Computed, not measured: an optimized crystal structure of PaSnAu at the PBE level of DFT.

electronic total energy: -16.5 eV/cell

a = 4.979 Å, b = 4.979 Å, c = 4.979 Å
α = 60.00°, β = 60.00°, γ = 60.00°
Positions (direct):
Au 0.500 0.500 0.500
Pa 0.250 0.250 0.250
Sn 0.000 0.000 0.000



no.,spin magnetization (μB per formula unit)
1,0.0
2,0.0